Record 1
The following is a GGA-PBE calculation of a geometry-optimized K2PmIO2 structure, from Alexandria.

a b c (Å): 4.632 4.632 7.069
angles (deg): 90.00 90.00 90.00
Fractional positions:
O: 0.000 0.500 0.000
O: 0.500 0.000 0.000
K: 0.500 0.500 0.771
K: 0.500 0.500 0.229
Pm: 0.000 0.000 0.000
I: 0.000 0.000 0.500

Summary:
Total energy   -5.113 eV per atom
SG   No. 123
E_form (uncorrected)   -2.04 eV per atom

---

Record 2
The following is a GGA-PBE calculation of a geometry-optimized K3Pm3IO8 structure, from Alexandria.

a b c (Å): 7.054 7.275 7.502
angles (deg): 118.13 90.00 119.00
Last column: magnetic moment on the atom in μB.
Fractional positions:
O: 0.751 0.952 0.669  0.03
O: 0.744 0.487 0.290  0.20
I: 0.000 0.000 0.500  0.31
K: 0.000 0.500 0.000  0.00
Pm: 0.500 0.000 0.500  0.00
O: 0.249 0.048 0.331  0.03
Pm: 0.500 0.500 0.500  0.00
K: 0.000 0.000 0.000  0.00
K: 0.500 0.500 0.000  0.00
O: 0.279 0.558 0.315  0.00
O: 0.201 0.952 0.669  0.03
O: 0.799 0.048 0.331  0.03
O: 0.256 0.513 0.710  0.20
O: 0.721 0.442 0.685  0.00
Pm: 0.000 0.500 0.500  0.00

Summary:
Total energy   -6.036 eV per atom
SG   No. 12
E_form (uncorrected)   -2.12 eV per atom

---

Record 3
The following is a GGA-PBE calculation of a geometry-optimized KPmI2O8 structure, from Alexandria.

a b c (Å): 6.338 6.338 7.742
angles (deg): 90.00 90.00 120.00
Last column: magnetic moment on the atom in μB.
Fractional positions:
I: 0.333 0.667 0.741  0.09
O: 0.675 0.842 0.695  0.17
O: 0.333 0.667 0.972  0.03
O: 0.842 0.167 0.305  0.17
K: 0.000 0.000 0.000  0.00
I: 0.667 0.333 0.259  0.09
O: 0.167 0.325 0.695  0.17
O: 0.158 0.833 0.695  0.17
O: 0.325 0.158 0.305  0.17
Pm: 0.000 0.000 0.500  0.04
O: 0.833 0.675 0.305  0.17
O: 0.667 0.333 0.028  0.03

Summary:
Total energy   -5.086 eV per atom
SG   No. 147
E_form (uncorrected)   -1.03 eV per atom

---

Record 4
The following is a GGA-PBE calculation of a geometry-optimized KPtIO2 structure, from Alexandria.

a b c (Å): 4.245 4.245 5.686
angles (deg): 90.00 90.00 90.00
Last column: magnetic moment on the atom in μB.
Fractional positions:
O: 0.500 0.000 0.000  0.43
Pt: 0.000 0.000 0.000  0.60
O: 0.000 0.500 0.000  0.43
K: 0.500 0.500 0.500  0.00
I: 0.000 0.000 0.500  0.04

Summary:
Total energy   -3.954 eV per atom
SG   No. 123
Energy above the lowest structure with this stoichiometry   0.0 meV per atom
E_form (uncorrected)   -0.23 eV per atom

---

Record 5
The following is a GGA-PBE calculation of a geometry-optimized KPtI2O structure, from Alexandria.

a b c (Å): 6.249 6.249 4.529
angles (deg): 90.00 90.00 90.00
Last column: magnetic moment on the atom in μB.
Fractional positions:
I: 0.000 0.500 0.000  0.26
I: 0.500 0.000 0.000  0.26
K: 0.000 0.000 0.000  0.04
O: 0.000 0.000 0.500  1.11
Pt: 0.500 0.500 0.500  0.86

Summary:
Total energy   -2.095 eV per atom
SG   No. 123
Energy above the lowest structure with this stoichiometry   1499.4 meV per atom
E_form (uncorrected)   0.94 eV per atom

---

Record 6
The following is a GGA-PBE calculation of a geometry-optimized KPtIO2 structure, from Alexandria.

a b c (Å): 4.402 4.402 7.214
angles (deg): 90.00 90.00 90.00
Last column: magnetic moment on the atom in μB.
Fractional positions:
O: 0.500 0.000 0.000  1.14
K: 0.000 0.000 0.000  0.12
I: 0.000 0.000 0.500  0.01
Pt: 0.500 0.500 0.500  0.39
O: 0.000 0.500 0.000  1.14

Summary:
Total energy   -2.726 eV per atom
SG   No. 123
Energy above the lowest structure with this stoichiometry   1228.5 meV per atom
E_form (uncorrected)   1.00 eV per atom

---

Record 7
The following is a GGA-PBE calculation of a geometry-optimized K2PtIO structure, from Alexandria.

a b c (Å): 6.040 6.040 3.855
angles (deg): 90.00 90.00 90.00
Last column: magnetic moment on the atom in μB.
Fractional positions:
K: 0.000 0.500 0.000  0.00
K: 0.500 0.000 0.000  0.00
I: 0.500 0.500 0.500  0.00
Pt: 0.000 0.000 0.500  0.32
O: 0.000 0.000 0.000  0.19

Summary:
Total energy   -3.927 eV per atom
SG   No. 123
E_form (uncorrected)   -0.98 eV per atom

---

Record 8
The following is a GGA-PBE calculation of a geometry-optimized K2PtIO6 structure, from Alexandria.

a b c (Å): 5.854 5.854 10.647
angles (deg): 74.04 74.04 60.00
Fractional positions:
O: 0.798 0.287 0.118
I: 0.000 0.000 0.000
Pt: 0.591 0.591 0.228
K: 0.118 0.118 0.647
O: 0.605 0.605 0.624
O: 0.202 0.713 0.882
O: 0.713 0.202 0.882
I: 0.500 0.500 0.500
O: 0.605 0.165 0.624
O: 0.798 0.798 0.118
O: 0.165 0.605 0.624
K: 0.708 0.708 0.875
O: 0.395 0.395 0.376
O: 0.287 0.798 0.118
K: 0.292 0.292 0.125
O: 0.395 0.835 0.376
Pt: 0.409 0.409 0.772
O: 0.835 0.395 0.376
O: 0.202 0.202 0.882
K: 0.882 0.882 0.353

Summary:
Total energy   -4.701 eV per atom
SG   No. 166
E_form (uncorrected)   -0.75 eV per atom

---

Record 9
The following is a GGA-PBE calculation of a geometry-optimized KPtI2O structure, from Alexandria.

a b c (Å): 5.939 5.939 3.879
angles (deg): 90.00 90.00 90.00
Last column: magnetic moment on the atom in μB.
Fractional positions:
Pt: 0.000 0.000 0.000  0.18
O: 0.000 0.000 0.500  0.18
I: 0.000 0.500 0.000  0.00
K: 0.500 0.500 0.500  0.00
I: 0.500 0.000 0.000  0.00

Summary:
Total energy   -3.594 eV per atom
SG   No. 123
Energy above the lowest structure with this stoichiometry   0.0 meV per atom
E_form (uncorrected)   -0.55 eV per atom

---

Record 10
The following is a GGA-PBE calculation of a geometry-optimized KPuIO6 structure, from Alexandria.

a b c (Å): 5.867 5.907 5.739
angles (deg): 91.15 89.89 60.29
Last column: magnetic moment on the atom in μB.
Fractional positions:
Pu: 0.682 0.679 0.502  2.41
O: 0.613 0.035 0.312  -0.05
O: 0.438 0.918 0.710  -0.11
O: 0.362 0.604 0.310  -0.02
K: 0.991 0.992 0.001  0.00
O: 0.010 0.629 0.687  -0.09
O: 0.926 0.439 0.291  -0.10
I: 0.362 0.348 0.497  0.00
O: 0.615 0.356 0.689  -0.02

Summary:
Total energy   -6.761 eV per atom
SG   No. 1
E_form (uncorrected)   -1.57 eV per atom

---

Record 11
The following is a GGA-PBE calculation of a geometry-optimized KPu2IO4 structure, from Alexandria.

a b c (Å): 4.010 4.010 10.155
angles (deg): 90.00 90.00 90.00
Last column: magnetic moment on the atom in μB.
Fractional positions:
Pu: 0.500 0.500 0.738  4.26
O: 0.500 0.000 0.193  -0.16
O: 0.500 0.000 0.807  -0.16
Pu: 0.500 0.500 0.262  4.26
O: 0.000 0.500 0.807  -0.16
K: 0.000 0.000 0.000  0.00
I: 0.000 0.000 0.500  -0.03
O: 0.000 0.500 0.193  -0.16

Summary:
Total energy   -8.688 eV per atom
SG   No. 123
E_form (uncorrected)   -2.29 eV per atom

---

Record 12
The following is a GGA-PBE calculation of a geometry-optimized K4Pu3IO12 structure, from Alexandria.

a b c (Å): 7.382 7.382 7.382
angles (deg): 109.47 109.47 109.47
Last column: magnetic moment on the atom in μB.
Fractional positions:
O: 0.246 0.246 0.000  -0.07
Pu: 0.000 0.500 0.500  3.38
O: 0.000 0.754 0.754  -0.07
O: 0.246 0.000 0.246  -0.07
O: 0.000 0.246 0.246  -0.07
K: 0.500 0.500 0.500  0.00
O: 0.500 0.250 0.750  -0.13
O: 0.754 0.000 0.754  -0.07
K: 0.500 0.000 0.000  0.00
Pu: 0.500 0.000 0.500  3.38
K: 0.000 0.000 0.500  0.00
O: 0.754 0.754 0.000  -0.07
Pu: 0.500 0.500 0.000  3.38
K: 0.000 0.500 0.000  0.00
O: 0.750 0.250 0.500  -0.13
O: 0.250 0.500 0.750  -0.13
O: 0.250 0.750 0.500  -0.13
I: 0.000 0.000 0.000  0.00
O: 0.750 0.500 0.250  -0.13
O: 0.500 0.750 0.250  -0.13

Summary:
Total energy   -7.531 eV per atom
SG   No. 229
E_form (uncorrected)   -2.11 eV per atom

---

no.,theoretical density (Mg/m³),magnetization (μB per formula unit)
1,4.18,0.0
2,4.73,1.0
3,3.49,1.6
4,6.37,1.7
5,4.73,3.1
6,4.67,3.4
7,4.91,0.5
8,5.50,0.0
9,6.12,0.4
10,4.87,2.0
11,7.30,8.0
12,6.47,9.0